Record 1
This record from the Alexandria database describes an optimized crystal structure of Sm2Ga2HgRh5. The functional is GGA-PBE.

## Properties
Its calculated formation energy is -0.6397 eV/atom.

a b c (Å): 9.901 9.901 3.652
angles (deg): 90.00 90.00 90.00
Space group P4/mbm (No. 127)
Inequivalent atoms, fractional coordinates:
Sm: 0.176 0.324 0.000 x4
Ga: 0.122 0.622 0.000 x4
Hg: 0.000 0.000 0.000 x2
Rh: 0.000 0.500 0.500 x2
Rh: 0.068 0.789 0.500 x8

Record 2
This record from the Alexandria database describes an optimized crystal structure of Ga2SnHgRh. The functional is GGA-PBE.

## Properties
Its calculated formation energy is -0.1727 eV/atom.

a b c (Å): 4.812 4.812 5.218
angles (deg): 90.00 90.00 90.00
Space group P4/mmm (No. 123)
Inequivalent atoms, fractional coordinates:
Ga: 0.000 0.500 0.000 x2
Sn: 0.000 0.000 0.500 x1
Hg: 0.500 0.500 0.500 x1
Rh: 0.000 0.000 0.000 x1

Record 3
This record from the Alexandria database describes an optimized crystal structure of SrGaHg2Rh. The functional is GGA-PBE.

## Properties
Its calculated formation energy is -0.3181 eV/atom.

a b c (Å): 5.295 5.295 4.744
angles (deg): 90.00 90.00 90.00
Space group P4/mmm (No. 123)
Inequivalent atoms, fractional coordinates:
Sr: 0.000 0.000 0.000 x1
Ga: 0.500 0.500 0.000 x1
Hg: 0.000 0.500 0.500 x2
Rh: 0.500 0.500 0.500 x1

Record 4
This record from the Alexandria database describes an optimized crystal structure of SrGa2HgRh. The functional is GGA-PBE.

## Properties
Its calculated formation energy is -0.3919 eV/atom.

a b c (Å): 4.802 4.802 5.320
angles (deg): 90.00 90.00 90.00
Space group P4/mmm (No. 123)
Inequivalent atoms, fractional coordinates:
Sr: 0.000 0.000 0.000 x1
Ga: 0.000 0.500 0.500 x2
Hg: 0.500 0.500 0.000 x1
Rh: 0.500 0.500 0.500 x1

Record 5
This record from the Alexandria database describes an optimized crystal structure of Sr2GaHgRh. The functional is GGA-PBE.

## Properties
Its calculated formation energy is -0.3843 eV/atom.

a b c (Å): 5.793 5.793 4.796
angles (deg): 90.00 90.00 90.00
Space group P4/mmm (No. 123)
Inequivalent atoms, fractional coordinates:
Sr: 0.000 0.500 0.000 x2
Ga: 0.000 0.000 0.500 x1
Hg: 0.500 0.500 0.500 x1
Rh: 0.000 0.000 0.000 x1

Record 6
This record from the Alexandria database describes an optimized crystal structure of Tb2Ga2HgRh5. The functional is GGA-PBE.

## Properties
Its calculated formation energy is -0.6718 eV/atom.

a b c (Å): 9.822 9.822 3.640
angles (deg): 90.00 90.00 90.00
Space group P4/mbm (No. 127)
Inequivalent atoms, fractional coordinates:
Tb: 0.175 0.325 0.000 x4
Ga: 0.123 0.623 0.000 x4
Hg: 0.000 0.000 0.000 x2
Rh: 0.000 0.500 0.500 x2
Rh: 0.070 0.790 0.500 x8

Record 7
This record from the Alexandria database describes an optimized crystal structure of Tb3GaHg2Rh3. The functional is GGA-PBE.

## Properties
Its calculated formation energy is -0.6305 eV/atom.

a b c (Å): 7.6629 7.6629 3.6311
angles (deg): 90.00 90.00 120.00
Space group P-62m (No. 189)
Inequivalent atoms, fractional coordinates:
Tb: 0.0000 0.6259 0.0000 x3
Ga: 0.0000 0.0000 0.0000 x1
Hg: 0.3333 0.6667 0.5000 x2
Rh: 0.0000 0.2354 0.5000 x3

Record 8
This record from the Alexandria database describes an optimized crystal structure of TlGa2HgRh. The functional is GGA-PBE.

## Properties
Its calculated formation energy is -0.1580 eV/atom.

a b c (Å): 4.837 4.837 5.339
angles (deg): 90.00 90.00 90.00
Space group P4/mmm (No. 123)
Inequivalent atoms, fractional coordinates:
Tl: 0.000 0.000 0.000 x1
Ga: 0.000 0.500 0.500 x2
Hg: 0.500 0.500 0.000 x1
Rh: 0.000 0.000 0.500 x1

Record 9
This record from the Alexandria database describes an optimized crystal structure of ZnGa2HgRh. The functional is GGA-PBE.

## Properties
Its calculated formation energy is -0.1460 eV/atom.

a b c (Å): 4.803 4.803 4.938
angles (deg): 90.00 90.00 90.00
Space group P4/mmm (No. 123)
Inequivalent atoms, fractional coordinates:
Zn: 0.000 0.000 0.000 x1
Ga: 0.000 0.500 0.500 x2
Hg: 0.500 0.500 0.000 x1
Rh: 0.000 0.000 0.500 x1

Record 10
This record from the Alexandria database describes an optimized crystal structure of Ga2HgRu. The functional is GGA-PBE.

## Properties
Its calculated formation energy is 0.1617 eV/atom.

a b c (Å): 9.154 9.154 5.451
angles (deg): 90.00 90.00 90.00
Space group I4_1/amd (No. 141, origin choice 2)
Inequivalent atoms, fractional coordinates:
Ga: 0.000 0.000 0.000 x8
Hg: 0.000 0.250 0.375 x4
Ru: 0.000 0.250 0.875 x4

Record 11
This record from the Alexandria database describes an optimized crystal structure of GaHg3Ru. The functional is GGA-PBE.

## Properties
Its calculated formation energy is 0.5457 eV/atom.

a b c (Å): 5.252 5.252 5.252
angles (deg): 90.00 90.00 90.00
Space group Pm-3m (No. 221)
Inequivalent atoms, fractional coordinates:
Ga: 0.000 0.000 0.000 x1
Hg: 0.000 0.500 0.500 x3
Ru: 0.500 0.500 0.500 x1

Record 12
This record from the Alexandria database describes an optimized crystal structure of Ga2HgRu2. The functional is GGA-PBE.

## Properties
Its calculated formation energy is -0.0716 eV/atom.

a b c (Å): 7.127 7.127 3.171
angles (deg): 90.00 90.00 90.00
Space group P4/mbm (No. 127)
Inequivalent atoms, fractional coordinates:
Ga: 0.150 0.350 0.000 x4
Hg: 0.000 0.000 0.500 x2
Ru: 0.144 0.644 0.500 x4

Number 1: total DFT energy (no corrections) -5.8948 eV/atom. Number 2: total DFT energy (no corrections) -3.7146 eV/atom. Number 3: total DFT energy (no corrections) -2.8508 eV/atom. Number 4: total DFT energy (no corrections) -3.4697 eV/atom. Number 5: total DFT energy (no corrections) -3.1931 eV/atom. Number 6: total DFT energy (no corrections) -5.9091 eV/atom. Number 7: total DFT energy (no corrections) -5.0278 eV/atom. Number 8: total DFT energy (no corrections) -3.3727 eV/atom. Number 9: total DFT energy (no corrections) -3.1422 eV/atom. Number 10: total DFT energy (no corrections) -3.7462 eV/atom. Number 11: total DFT energy (no corrections) -2.0959 eV/atom. Number 12: total DFT energy (no corrections) -5.0531 eV/atom.